<a>
DFT (PBE) results for a relaxed SiSbH2 crystal.

Results
- Magnetic moment: 0.00 μB per formula unit

CIF file:
```
data_SiSbH2
_chemical_formula_sum 'Si1 Sb1 H2'
_space_group_name_H-M_alt 'P 1 2 1'
_space_group_IT_number 3
_space_group_name_Hall 'P 2y'
_cell_length_a 3.552
_cell_length_b 5.325
_cell_length_c 3.987
_cell_angle_alpha 90.00
_cell_angle_beta 112.79
_cell_angle_gamma 90.00
loop_
_atom_site_label
_atom_site_fract_x
_atom_site_fract_y
_atom_site_fract_z
Si1 0.000 0.000 0.000
Sb1 0.000 0.318 0.500
H1 0.354 0.829 0.182
```

<b>
DFT (PBE) results for a relaxed SiSbH2 crystal.

Results
- Magnetic moment: 0.00 μB per formula unit

CIF file:
```
data_SiSbH2
_chemical_formula_sum 'Si2 Sb2 H4'
_space_group_name_H-M_alt 'P 1'
_space_group_IT_number 1
_space_group_name_Hall 'P 1'
_cell_length_a 4.282
_cell_length_b 5.859
_cell_length_c 6.989
_cell_angle_alpha 78.46
_cell_angle_beta 72.40
_cell_angle_gamma 70.19
loop_
_atom_site_label
_atom_site_fract_x
_atom_site_fract_y
_atom_site_fract_z
Si1 0.000 0.000 0.000
Si2 0.068 0.950 0.662
Sb1 0.098 0.352 0.415
Sb2 0.406 0.482 0.678
H1 0.341 0.940 0.043
H2 0.729 0.925 0.657
H3 0.794 0.252 0.056
H4 0.826 0.824 0.139
```

Short version: <b> is the most stable of them.

<a>
DFT (PBE) results for a relaxed SiSbH2 crystal.

Results
- Magnetic moment: 0.00 μB per formula unit

CIF file:
```
data_SiSbH2
_chemical_formula_sum 'Si2 Sb2 H4'
_space_group_name_H-M_alt 'A m m 2'
_space_group_IT_number 38
_space_group_name_Hall 'A 2 -2'
_cell_length_a 4.164
_cell_length_b 3.307
_cell_length_c 10.448
_cell_angle_alpha 90.00
_cell_angle_beta 90.00
_cell_angle_gamma 90.00
loop_
_atom_site_label
_atom_site_fract_x
_atom_site_fract_y
_atom_site_fract_z
Si1 0.000 0.000 0.000
Sb1 0.500 0.000 0.152
H1 0.000 0.000 0.505
H2 0.000 0.000 0.856
```

<b>
DFT (PBE) results for a relaxed SiSbH2 crystal.

Results
- Magnetic moment: 0.00 μB per formula unit

CIF file:
```
data_SiSbH2
_chemical_formula_sum 'Si2 Sb2 H4'
_space_group_name_H-M_alt 'P 1'
_space_group_IT_number 1
_space_group_name_Hall 'P 1'
_cell_length_a 4.112
_cell_length_b 4.292
_cell_length_c 9.234
_cell_angle_alpha 82.24
_cell_angle_beta 79.00
_cell_angle_gamma 62.86
loop_
_atom_site_label
_atom_site_fract_x
_atom_site_fract_y
_atom_site_fract_z
Si1 0.000 0.000 0.000
Si2 0.157 0.780 0.761
Sb1 0.415 0.019 0.191
Sb2 0.661 0.389 0.375
H1 0.254 0.021 0.647
H2 0.473 0.422 0.758
H3 0.837 0.393 0.967
H4 0.839 0.753 0.718
```

Short version: <b> is the most stable of them.

<a>
DFT (PBE) results for a relaxed SiSbH2 crystal.

Results
- Magnetic moment: 0.00 μB per formula unit

CIF file:
```
data_SiSbH2
_chemical_formula_sum 'Si4 Sb4 H8'
_space_group_name_H-M_alt 'F m -3 m'
_space_group_IT_number 225
_space_group_name_Hall '-F 4 2 3'
_cell_length_a 5.745
_cell_length_b 5.745
_cell_length_c 5.745
_cell_angle_alpha 90.00
_cell_angle_beta 90.00
_cell_angle_gamma 90.00
loop_
_atom_site_label
_atom_site_fract_x
_atom_site_fract_y
_atom_site_fract_z
Si1 0.000 0.000 0.000
Sb1 0.000 0.000 0.500
H1 0.250 0.250 0.250
```

<b>
DFT (PBE) results for a relaxed SiSbH2 crystal.

Results
- Magnetic moment: 0.00 μB per formula unit

CIF file:
```
data_SiSbH2
_chemical_formula_sum 'Si4 Sb4 H8'
_space_group_name_H-M_alt 'I -4 2 d'
_space_group_IT_number 122
_space_group_name_Hall 'I -4 2bw'
_cell_length_a 5.465
_cell_length_b 5.465
_cell_length_c 7.482
_cell_angle_alpha 90.00
_cell_angle_beta 90.00
_cell_angle_gamma 90.00
loop_
_atom_site_label
_atom_site_fract_x
_atom_site_fract_y
_atom_site_fract_z
Si1 0.000 0.000 0.000
Sb1 0.000 0.000 0.500
H1 0.019 0.750 0.125
```

<c>
DFT (PBE) results for a relaxed SiSbH2 crystal.

Results
- Magnetic moment: 0.00 μB per formula unit

CIF file:
```
data_SiSbH2
_chemical_formula_sum 'Si2 Sb2 H4'
_space_group_name_H-M_alt 'P 1'
_space_group_IT_number 1
_space_group_name_Hall 'P 1'
_cell_length_a 4.224
_cell_length_b 5.499
_cell_length_c 7.180
_cell_angle_alpha 101.36
_cell_angle_beta 91.24
_cell_angle_gamma 105.75
loop_
_atom_site_label
_atom_site_fract_x
_atom_site_fract_y
_atom_site_fract_z
Si1 0.000 0.000 0.000
Si2 0.006 0.942 0.319
Sb1 0.204 0.377 0.582
Sb2 0.393 0.632 0.270
H1 0.335 0.048 0.927
H2 0.792 0.748 0.882
H3 0.809 0.414 0.543
H4 0.853 0.207 0.964
```

<d>
DFT (PBE) results for a relaxed SiSbH2 crystal.

Results
- Magnetic moment: 0.00 μB per formula unit

CIF file:
```
data_SiSbH2
_chemical_formula_sum 'Si2 Sb2 H4'
_space_group_name_H-M_alt 'P 1'
_space_group_IT_number 1
_space_group_name_Hall 'P 1'
_cell_length_a 4.156
_cell_length_b 5.712
_cell_length_c 7.498
_cell_angle_alpha 67.89
_cell_angle_beta 77.84
_cell_angle_gamma 69.85
loop_
_atom_site_label
_atom_site_fract_x
_atom_site_fract_y
_atom_site_fract_z
Si1 0.000 0.000 0.000
Si2 0.098 0.557 0.022
Sb1 0.146 0.652 0.645
Sb2 0.655 0.289 0.217
H1 0.360 0.883 0.606
H2 0.365 0.003 0.995
H3 0.537 0.409 0.642
H4 0.897 0.168 0.799
```

Short version: <c> is the most stable of them.